# 1
Material: La12Cu6O25
Method: DFT, PBEsol
State: optimized geometry

Properties
- SG: C2 (5)
- Crystal system: monoclinic

Cell lengths 8.802, 8.802, 7.589 Å; angles 102.46, 102.46, 94.27 degrees
Atoms (fractional coordinates):
La1 0.002 0.002 0.246
La2 0.279 0.716 0.251
La3 0.284 0.721 0.749
La4 0.326 0.342 0.910
La5 0.332 0.338 0.416
La6 0.615 0.062 0.920
La7 0.616 0.058 0.417
La8 0.658 0.674 0.090
La9 0.662 0.668 0.584
La10 0.938 0.385 0.080
La11 0.942 0.384 0.583
La12 0.998 0.998 0.754
Cu1 0.306 0.028 0.583
Cu2 0.308 0.028 0.083
Cu3 0.633 0.367 0.251
Cu4 0.633 0.367 0.749
Cu5 0.972 0.692 0.917
Cu6 0.972 0.694 0.417
O1 0.096 0.460 0.893
O2 0.110 0.192 0.086
O3 0.127 0.204 0.571
O4 0.134 0.866 0.500
O5 0.141 0.513 0.402
O6 0.149 0.851 0.000
O7 0.303 0.026 0.834
O8 0.313 0.019 0.331
O9 0.381 0.619 0.000
O10 0.455 0.533 0.688
O11 0.456 0.212 0.162
O12 0.467 0.545 0.312
O13 0.468 0.200 0.668
O14 0.487 0.859 0.598
O15 0.540 0.904 0.107
O16 0.629 0.371 0.000
O17 0.652 0.348 0.500
O18 0.788 0.544 0.838
O19 0.796 0.873 0.429
O20 0.800 0.532 0.332
O21 0.808 0.890 0.914
O22 0.818 0.181 0.248
O23 0.819 0.182 0.752
O24 0.974 0.697 0.166
O25 0.981 0.687 0.669



# 2
Material: La8Cu3O16
Method: DFT, PBEsol
State: optimized geometry

Properties
- SG: P-1 (2)
- Crystal system: triclinic

Cell lengths 7.012, 7.425, 8.285 Å; angles 63.46, 69.29, 74.69 degrees
Atoms (fractional coordinates):
La1 0.222 0.155 0.312
La2 0.223 0.671 0.313
La3 0.225 0.398 0.825
La4 0.230 0.914 0.825
La5 0.770 0.086 0.175
La6 0.775 0.602 0.175
La7 0.777 0.329 0.687
La8 0.778 0.845 0.688
Cu1 0.499 0.750 0.500
Cu2 0.500 0.500 0.000
Cu3 0.501 0.250 0.500
O1 0.128 0.047 0.092
O2 0.135 0.547 0.090
O3 0.138 0.292 0.598
O4 0.138 0.797 0.586
O5 0.495 0.375 0.252
O6 0.496 0.873 0.254
O7 0.498 0.257 0.999
O8 0.500 0.000 0.500
O9 0.500 0.500 0.500
O10 0.502 0.743 0.001
O11 0.504 0.127 0.746
O12 0.505 0.625 0.748
O13 0.862 0.203 0.414
O14 0.862 0.708 0.402
O15 0.865 0.453 0.910
O16 0.872 0.953 0.908



# 3
Material: La3Cu4P4O2
Method: DFT, PBEsol
State: optimized geometry

Properties
- SG: I4/mmm (139)
- Crystal system: tetragonal

Cell lengths 13.506, 13.506, 13.506 Å; angles 163.00, 163.00, 24.14 degrees
Atoms (fractional coordinates):
La1 0.000 0.000 0.000
La2 0.297 0.297 0.000
La3 0.703 0.703 0.000
Cu1 0.094 0.594 0.500
Cu2 0.406 0.906 0.500
Cu3 0.594 0.094 0.500
Cu4 0.906 0.406 0.500
P1 0.138 0.138 0.000
P2 0.458 0.458 0.000
P3 0.542 0.542 0.000
P4 0.862 0.862 0.000
O1 0.250 0.750 0.500
O2 0.750 0.250 0.500



# 4
Material: La3ZnCuRh2PbO12
Method: DFT, PBEsol
State: optimized geometry

Properties
- SG: P1 (1)
- Crystal system: triclinic

Cell lengths 5.493, 5.636, 7.809 Å; angles 89.21, 89.63, 89.93 degrees
Atoms (fractional coordinates):
La1 0.000 0.000 0.000
La2 0.020 0.107 0.502
La3 0.496 0.603 0.506
Zn1 0.510 0.051 0.253
Cu1 0.011 0.548 0.756
Rh1 0.016 0.552 0.252
Rh2 0.507 0.047 0.755
Pb1 0.528 0.494 0.011
O1 0.119 0.577 0.009
O2 0.205 0.848 0.299
O3 0.211 0.848 0.708
O4 0.303 0.330 0.699
O5 0.309 0.359 0.298
O6 0.427 0.094 0.998
O7 0.598 0.022 0.506
O8 0.703 0.756 0.810
O9 0.719 0.746 0.200
O10 0.793 0.258 0.799
O11 0.821 0.263 0.206
O12 0.919 0.534 0.500



| no. | total energy (eV per atom) | calculated volume (A^3/atom) |
| --- | --- | --- |
| 1 | -7.73 | 12.93 |
| 2 | -7.87 | 13.26 |
| 3 | -6.62 | 16.20 |
| 4 | -7.15 | 12.08 |